The following is a DFT calculation (PBE) of an optimized crystal structure of Ba6Pt2I3O.

Cell: 7.7916 7.7916 8.9548 Å, 98.43 98.43 119.74°
With the nearest neighbours (Å) after each atom.
Positions (direct):
1 Ba 0.0623 0.3691 0.1888  1 O 2.88, 2 Pt 3.15-3.17
2 Ba 0.2470 0.2470 0.8062  1 O 2.95, 2 Pt 3.15
3 Ba 0.3691 0.0623 0.1888  1 O 2.88, 2 Pt 3.15-3.17
4 Ba 0.6309 0.9377 0.8112  1 O 2.88, 2 Pt 3.15-3.17
5 Ba 0.7530 0.7530 0.1938  1 O 2.95, 2 Pt 3.15
6 Ba 0.9377 0.6309 0.8112  1 O 2.88, 2 Pt 3.15-3.17
7 Pt 0.3337 0.6663 0.0000  6 Ba 3.15-3.17
8 Pt 0.6663 0.3337 0.0000  6 Ba 3.15-3.17
9 I 0.1714 0.8286 0.5000  6 Ba 3.66-3.83
10 I 0.5000 0.5000 0.5000  6 Ba 3.66-3.82
11 I 0.8286 0.1714 0.5000  6 Ba 3.66-3.83
12 O 0.0000 0.0000 0.0000  6 Ba 2.88-2.95

Output
- total magnetic moment (μB/cell) = 0.00
- E (Ry per atom) = -0.30370
- density (g cm⁻³) = 5.93